# 1
BaSr2: optimized geometry, PBE.

a b c (Å): 8.3693 8.3693 10.3079
angles (deg): 75.07 75.07 29.80
Sites, in units of the cell vectors:
Ba  0.6675  0.6675  0.6680
Ba  0.6103  0.6103  0.2765
Sr  0.9975  0.9975  0.0002
Sr  0.3362  0.3362  0.3304
Sr  0.9416  0.9416  0.6140
Sr  0.2803  0.2803  0.9443

Calculated values
The formation energy comes out at 10 meV/atom. As for the density of states at the Fermi level: 4.0 states/eV/f.u. Its total energy is -1.7521 eV per atom. As for the space group: C2/m.

---

# 2
Eu2LuCl: optimized geometry, PBE.

a b c (Å): 3.7749 3.7749 10.5620
angles (deg): 79.71 79.71 60.00
Sites, in units of the cell vectors:
Eu  0.7377  0.7377  0.7870
Eu  0.2623  0.2623  0.2130
Lu  0.5000  0.5000  0.5000
Cl  0.0000  0.0000  0.0000

Calculated values
The raw formation energy is -0.7485 eV per atom. As for the density of states at the Fermi level: 9.2 states/eV/f.u. Its total energy is -7.4776 eV per atom. As for the space group: R-3m.

---

# 3
Ba2InAsO: optimized geometry, PBE.

a b c (Å): 4.4345 7.1428 9.7468
angles (deg): 103.20 90.00 90.00
Sites, in units of the cell vectors:
Ba  0.7500  0.7855  0.5280
Ba  0.7500  0.7750  0.1185
Ba  0.2500  0.2145  0.4720
Ba  0.2500  0.2250  0.8815
In  0.2500  0.7319  0.8207
In  0.7500  0.2681  0.1793
As  0.2500  0.5227  0.2643
As  0.7500  0.4773  0.7357
O  0.2500  0.9322  0.6606
O  0.7500  0.0678  0.3394

Calculated values
The raw formation energy is -1.4101 eV per atom. Its total energy is -4.6484 eV per atom. As for the space group: P2_1/m.

---

# 4
KTaSb: optimized geometry, PBE.

a b c (Å): 3.2676 3.2676 8.3872
angles (deg): 90.00 90.00 120.00
Sites, in units of the cell vectors:
K  0.0000  0.0000  0.0028
Sb  0.6667  0.3333  0.3678
Ta  0.3333  0.6667  0.6294

Calculated values
The raw formation energy is 0.5464 eV per atom. As for the density of states at the Fermi level: 1.8 states/eV/f.u. Its total energy is -5.1445 eV per atom. As for the space group: P3m1.

---

# 5
HfPt: optimized geometry, PBE.

a b c (Å): 7.7118 7.7118 5.1230
angles (deg): 90.00 90.00 120.00
Sites, in units of the cell vectors:
Hf  0.6477  0.0758  0.2500
Hf  0.5719  0.6477  0.7500
Hf  0.9242  0.5719  0.2500
Hf  0.3523  0.9242  0.7500
Hf  0.4281  0.3523  0.2500
Hf  0.0758  0.4281  0.7500
Pt  0.0440  0.2963  0.2500
Pt  0.7477  0.0440  0.7500
Pt  0.7037  0.7477  0.2500
Pt  0.9560  0.7037  0.7500
Pt  0.2523  0.9560  0.2500
Pt  0.2963  0.2523  0.7500

Calculated values
The formation energy comes out at -601 meV/atom. As for the density of states at the Fermi level: 1.4 states/eV/f.u. Its total energy is -8.5977 eV per atom. As for the space group: P6_3/m.